This record from Alexandria describes BeInOs2 at its PBEsol-relaxed geometry. The functional is meta-GGA SCAN.

Lattice parameters (Å, degrees): 2.8663 4.4448 5.3481 90.51 105.53 108.73
Closest atoms and distances in Å follow each position.
Positions (direct):
Os (0.1922, 0.5036, 0.7568)  3 Os 2.46-2.57, 3 Be 2.52-2.59, 1 In 2.63
Os (0.0230, 0.9840, 0.9367)  2 Be 2.44, 3 Os 2.46-2.57
Be (0.3690, 0.0478, 0.5619)  5 Os 2.44-2.59
In (0.9160, 0.4647, 0.2446)  6 Os 2.63-2.91, 3 Be 2.80-2.90, 2 In 2.87

Output
ΔE_f = 0.33 eV per atom
Crystal system = triclinic
Density = 13.543 g cm⁻³
Symmetry = P1 (1)